# MnP2SCl, relaxed, DFT PBE
data_MnP2SCl
_chemical_formula_sum 'Mn1 P2 S1 Cl1'
_space_group_name_H-M_alt 'P 4/m m m'
_space_group_IT_number 123
_space_group_name_Hall '-P 4 2'
_cell_length_a 4.565
_cell_length_b 4.565
_cell_length_c 4.472
_cell_angle_alpha 90.00
_cell_angle_beta 90.00
_cell_angle_gamma 90.00
loop_
_atom_site_label
_atom_site_type_symbol
_atom_site_fract_x
_atom_site_fract_y
_atom_site_fract_z
Mn1 Mn 0.000 0.000 0.000
P1 P 0.000 0.500 0.500
S1 S 0.500 0.500 0.500
Cl1 Cl 0.500 0.500 0.000
# Calculated volume = 18.6 Å³ per atom
# N(E_F) = 5.4 states/eV/f.u.
# Final energy = -19.08 eV per cell
# Size of the total moment = 0.05 μB per formula unit

***

# BaUHg2S6, relaxed, DFT PBE
data_BaUHg2S6
_chemical_formula_sum 'Ba3 U3 Hg6 S18'
_space_group_name_H-M_alt 'R -3'
_space_group_IT_number 148
_space_group_name_Hall '-R 3'
_cell_length_a 7.0271
_cell_length_b 7.0271
_cell_length_c 20.9437
_cell_angle_alpha 90.00
_cell_angle_beta 90.00
_cell_angle_gamma 120.00
loop_
_atom_site_label
_atom_site_type_symbol
_atom_site_fract_x
_atom_site_fract_y
_atom_site_fract_z
Ba1 Ba 0.0000 0.0000 0.0000
U1 U 0.0000 0.0000 0.5000
Hg1 Hg 0.0000 0.0000 0.2305
S1 S 0.0039 0.7107 0.4255
# Calculated volume = 29.9 Å³ per atom
# Final energy = -141.00 eV per cell
# Size of the total moment = 0.00 μB per formula unit

***

# FeTe2Os, relaxed, DFT PBE
data_FeTe2Os
_chemical_formula_sum 'Fe1 Te2 Os1'
_space_group_name_H-M_alt 'P 1 2/m 1'
_space_group_IT_number 10
_cell_length_a 4.907
_cell_length_b 4.007
_cell_length_c 6.007
_cell_angle_alpha 90.00
_cell_angle_beta 114.02
_cell_angle_gamma 90.00
loop_
_space_group_symop_operation_xyz
'x,y,z'
'-x,-y,-z'
'-x,y,-z'
'x,-y,z'
loop_
_atom_site_label
_atom_site_type_symbol
_atom_site_fract_x
_atom_site_fract_y
_atom_site_fract_z
Fe1 Fe 0.000 0.000 0.000
Te1 Te 0.346 0.500 0.691
Os1 Os 0.500 0.000 0.000
# Calculated volume = 27.0 Å³ per atom
# N(E_F) = 5.3 states/eV/f.u.
# Final energy = -23.13 eV per cell
# Size of the total moment = 4.07 μB per formula unit

***

# SrZr2Se, relaxed, DFT PBE
data_SrZr2Se
_chemical_formula_sum 'Sr4 Zr8 Se4'
_space_group_name_H-M_alt 'F -4 3 m'
_space_group_IT_number 216
_space_group_name_Hall 'F -4 2 3'
_cell_length_a 7.371
_cell_length_b 7.371
_cell_length_c 7.371
_cell_angle_alpha 90.00
_cell_angle_beta 90.00
_cell_angle_gamma 90.00
loop_
_atom_site_label
_atom_site_type_symbol
_atom_site_fract_x
_atom_site_fract_y
_atom_site_fract_z
Sr1 Sr 0.000 0.000 0.000
Zr1 Zr 0.000 0.000 0.500
Zr2 Zr 0.250 0.250 0.750
Se1 Se 0.250 0.250 0.250
# Calculated volume = 25.0 Å³ per atom
# N(E_F) = 4.7 states/eV/f.u.
# Final energy = -85.75 eV per cell
# Size of the total moment = 1.54 μB per formula unit

***

# Ta2CuTcSb, relaxed, DFT PBE
data_Ta2CuTcSb
_chemical_formula_sum 'Ta2 Cu1 Tc1 Sb1'
_space_group_name_H-M_alt 'P 4/m m m'
_space_group_IT_number 123
_space_group_name_Hall '-P 4 2'
_cell_length_a 4.622
_cell_length_b 4.622
_cell_length_c 4.583
_cell_angle_alpha 90.00
_cell_angle_beta 90.00
_cell_angle_gamma 90.00
loop_
_atom_site_label
_atom_site_type_symbol
_atom_site_fract_x
_atom_site_fract_y
_atom_site_fract_z
Ta1 Ta 0.000 0.500 0.000
Cu1 Cu 0.000 0.000 0.000
Tc1 Tc 0.000 0.000 0.500
Sb1 Sb 0.500 0.500 0.500
# Calculated volume = 19.6 Å³ per atom
# N(E_F) = 5.3 states/eV/f.u.
# Final energy = -36.70 eV per cell
# Size of the total moment = 0.31 μB per formula unit

***

# PrDyP2O8, relaxed, DFT PBE
data_PrDyP2O8
_chemical_formula_sum 'Pr1 Dy1 P2 O8'
_space_group_name_H-M_alt 'P -3 m 1'
_space_group_IT_number 164
_space_group_name_Hall '-P 3 2"'
_cell_length_a 5.2798
_cell_length_b 5.2798
_cell_length_c 7.2019
_cell_angle_alpha 90.00
_cell_angle_beta 90.00
_cell_angle_gamma 120.00
loop_
_atom_site_label
_atom_site_type_symbol
_atom_site_fract_x
_atom_site_fract_y
_atom_site_fract_z
Pr1 Pr 0.0000 0.0000 0.0000
Dy1 Dy 0.0000 0.0000 0.5000
P1 P 0.3333 0.6667 0.7935
O1 O 0.1737 0.3474 0.7195
O2 O 0.3333 0.6667 0.0059
# Calculated volume = 14.5 Å³ per atom
# N(E_F) = 0.0 states/eV/f.u.
# Final energy = -94.73 eV per cell
# Size of the total moment = 0.00 μB per formula unit

***

> The highest final energy belongs to which entry?

MnP2SCl

***

Please write out number 3 again, unchanged.
# FeTe2Os, relaxed, DFT PBE
data_FeTe2Os
_chemical_formula_sum 'Fe1 Te2 Os1'
_space_group_name_H-M_alt 'P 1 2/m 1'
_space_group_IT_number 10
_cell_length_a 4.907
_cell_length_b 4.007
_cell_length_c 6.007
_cell_angle_alpha 90.00
_cell_angle_beta 114.02
_cell_angle_gamma 90.00
loop_
_space_group_symop_operation_xyz
'x,y,z'
'-x,-y,-z'
'-x,y,-z'
'x,-y,z'
loop_
_atom_site_label
_atom_site_type_symbol
_atom_site_fract_x
_atom_site_fract_y
_atom_site_fract_z
Fe1 Fe 0.000 0.000 0.000
Te1 Te 0.346 0.500 0.691
Os1 Os 0.500 0.000 0.000
# Calculated volume = 27.0 Å³ per atom
# N(E_F) = 5.3 states/eV/f.u.
# Final energy = -23.13 eV per cell
# Size of the total moment = 4.07 μB per formula unit

***

What did the first record say?
# MnP2SCl, relaxed, DFT PBE
data_MnP2SCl
_chemical_formula_sum 'Mn1 P2 S1 Cl1'
_space_group_name_H-M_alt 'P 4/m m m'
_space_group_IT_number 123
_space_group_name_Hall '-P 4 2'
_cell_length_a 4.565
_cell_length_b 4.565
_cell_length_c 4.472
_cell_angle_alpha 90.00
_cell_angle_beta 90.00
_cell_angle_gamma 90.00
loop_
_atom_site_label
_atom_site_type_symbol
_atom_site_fract_x
_atom_site_fract_y
_atom_site_fract_z
Mn1 Mn 0.000 0.000 0.000
P1 P 0.000 0.500 0.500
S1 S 0.500 0.500 0.500
Cl1 Cl 0.500 0.500 0.000
# Calculated volume = 18.6 Å³ per atom
# N(E_F) = 5.4 states/eV/f.u.
# Final energy = -19.08 eV per cell
# Size of the total moment = 0.05 μB per formula unit